Record 1
DFT (PBE) results for an optimized crystal structure of BiBMo.

Summary:
The volume is 17.1 A^3/atom. Its space group is F-43m, No. 216. The calculation puts the calculated total energy at -5.991 eV/atom. For the theoretical density, the calculation gives 10.23 Mg/m³. The energy above the most stable polymorph in this dataset comes out at 0.000 eV/atom.

```
BiBMo
1.0
0.0000 2.9481 2.9481
2.9481 0.0000 2.9481
2.9481 2.9481 0.0000
Bi B Mo
1 1 1
Cartesian
0.0000 0.0000 0.0000 Bi
1.4740 1.4740 1.4740 B
2.9481 2.9481 2.9481 Mo
```



Record 2
DFT (PBE) results for an optimized crystal structure of BiB2Mo2.

Summary:
The volume is 14.1 A^3/atom. Its space group is Cmmm, No. 65. The calculation puts the calculated total energy at -7.829 eV/atom. For the theoretical density, the calculation gives 9.92 Mg/m³.

```
BiB2Mo2
1.0
1.5543 -7.2175 0.0000
1.5543 7.2175 0.0000
0.0000 0.0000 3.1515
Bi B Mo
1 2 2
Cartesian
0.0000 0.0000 0.0000 Bi
1.5543 4.0986 0.0000 B
1.5543 -4.0986 0.0000 B
1.5543 2.4055 1.5758 Mo
1.5543 -2.4055 1.5758 Mo
```



Record 3
DFT (PBE) results for an optimized crystal structure of BiBMo2.

Summary:
The volume is 16.2 A^3/atom. Its space group is P6_3/mmc, No. 194. The calculation puts the calculated total energy at -8.000 eV/atom. For the theoretical density, the calculation gives 10.58 Mg/m³.

```
BiBMo2
1.0
3.3171 0.0000 0.0000
-1.6585 2.8727 0.0000
0.0000 0.0000 13.5625
Bi B Mo
2 2 4
Cartesian
0.0000 1.9151 3.3906 Bi
1.6585 0.9576 10.1719 Bi
0.0000 0.0000 0.0000 B
0.0000 0.0000 6.7812 B
0.0000 1.9151 7.8853 Mo
0.0000 1.9151 12.4584 Mo
1.6585 0.9576 1.1041 Mo
1.6585 0.9576 5.6772 Mo
```



Record 4
DFT (PBE) results for an optimized crystal structure of Bi2BMo.

Summary:
The volume is 20.6 A^3/atom. Its space group is F-43m, No. 216. The calculation puts the calculated total energy at -4.851 eV/atom. For the theoretical density, the calculation gives 10.56 Mg/m³.

```
Bi2BMo
1.0
0.0000 3.4549 3.4549
3.4549 0.0000 3.4549
3.4549 3.4549 0.0000
Bi B Mo
2 1 1
Cartesian
0.0000 0.0000 0.0000 Bi
1.7275 1.7275 1.7275 Bi
3.4549 3.4549 3.4549 B
5.1824 5.1824 5.1824 Mo
```



Record 5
DFT (PBE) results for an optimized crystal structure of BiB3Mo4.

Summary:
The volume is 13.6 A^3/atom. Its space group is P6_3/mmc, No. 194. The calculation puts the calculated total energy at -8.507 eV/atom. For the theoretical density, the calculation gives 9.52 Mg/m³.

```
BiB3Mo4
1.0
3.2105 0.0000 0.0000
-1.6052 2.7804 0.0000
0.0000 0.0000 24.4217
Bi B Mo
2 6 8
Cartesian
0.0000 1.8536 6.1054 Bi
1.6052 0.9268 18.3163 Bi
0.0000 0.0000 0.0000 B
0.0000 0.0000 12.2108 B
0.0000 1.8536 14.7989 B
0.0000 1.8536 21.8336 B
1.6052 0.9268 2.5880 B
1.6052 0.9268 9.6228 B
0.0000 0.0000 3.6863 Mo
0.0000 0.0000 8.5246 Mo
0.0000 0.0000 15.8971 Mo
0.0000 0.0000 20.7354 Mo
0.0000 1.8536 1.2952 Mo
0.0000 1.8536 10.9156 Mo
1.6052 0.9268 13.5060 Mo
1.6052 0.9268 23.1265 Mo
```



Record 6
DFT (PBE) results for an optimized crystal structure of BiB2Mo.

Summary:
The volume is 15.5 A^3/atom. Its space group is F-43m, No. 216. The calculation puts the calculated total energy at -5.012 eV/atom. For the theoretical density, the calculation gives 8.77 Mg/m³.

```
BiB2Mo
1.0
0.0000 3.1391 3.1391
3.1391 0.0000 3.1391
3.1391 3.1391 0.0000
Bi B Mo
1 2 1
Cartesian
0.0000 0.0000 0.0000 Bi
3.1391 3.1391 3.1391 B
4.7086 4.7086 4.7086 B
1.5695 1.5695 1.5695 Mo
```



What did the third record say?
DFT (PBE) results for an optimized crystal structure of BiBMo2.

Summary:
The volume is 16.2 A^3/atom. Its space group is P6_3/mmc, No. 194. The calculation puts the calculated total energy at -8.000 eV/atom. For the theoretical density, the calculation gives 10.58 Mg/m³.

```
BiBMo2
1.0
3.3171 0.0000 0.0000
-1.6585 2.8727 0.0000
0.0000 0.0000 13.5625
Bi B Mo
2 2 4
Cartesian
0.0000 1.9151 3.3906 Bi
1.6585 0.9576 10.1719 Bi
0.0000 0.0000 0.0000 B
0.0000 0.0000 6.7812 B
0.0000 1.9151 7.8853 Mo
0.0000 1.9151 12.4584 Mo
1.6585 0.9576 1.1041 Mo
1.6585 0.9576 5.6772 Mo
```



Which of these has the highest theoretical density? BiBMo2



Repeat the third record exactly.
DFT (PBE) results for an optimized crystal structure of BiBMo2.

Summary:
The volume is 16.2 A^3/atom. Its space group is P6_3/mmc, No. 194. The calculation puts the calculated total energy at -8.000 eV/atom. For the theoretical density, the calculation gives 10.58 Mg/m³.

```
BiBMo2
1.0
3.3171 0.0000 0.0000
-1.6585 2.8727 0.0000
0.0000 0.0000 13.5625
Bi B Mo
2 2 4
Cartesian
0.0000 1.9151 3.3906 Bi
1.6585 0.9576 10.1719 Bi
0.0000 0.0000 0.0000 B
0.0000 0.0000 6.7812 B
0.0000 1.9151 7.8853 Mo
0.0000 1.9151 12.4584 Mo
1.6585 0.9576 1.1041 Mo
1.6585 0.9576 5.6772 Mo
```